Mg2SbPt: optimized geometry, GGA-PBE.

## Properties
Size of the total moment: 0.000 μB per cell
Fermi-level density of states: 0.444 states/eV per atom
ρ: 7.4 Mg/m³
E_tot: -3.694 eV/atom

The structure in POSCAR format:
```
Mg2SbPt
1.0
3.255 0.000 0.000
0.000 4.108 0.000
0.000 0.000 6.112
Mg Pt Sb
2 1 1
Direct
0.000 0.000 0.004 Mg
0.500 0.500 0.294 Mg
0.000 0.000 0.434 Pt
0.500 0.500 0.768 Sb
```

Mg2SbPt: optimized geometry, GGA-PBE.

## Properties
Size of the total moment: 0.000 μB per cell
Fermi-level density of states: 1.053 states/eV per atom
ρ: 7.7 Mg/m³
E_tot: -3.613 eV/atom

The structure in POSCAR format:
```
Mg2SbPt
1.0
4.811 0.000 0.000
2.405 4.166 0.000
2.405 1.389 3.928
Mg Pt Sb
2 1 1
Direct
0.000 0.000 0.000 Mg
0.250 0.250 0.250 Mg
0.500 0.500 0.500 Pt
0.750 0.750 0.750 Sb
```

MgSb2Pt2: optimized geometry, GGA-PBE.

## Properties
Excess energy over the best structure of this formula in the dataset: 22.2 kJ per mole of atoms
Size of the total moment: 0.000 μB per cell
Fermi-level density of states: 0.575 states/eV per atom
ρ: 10.4 Mg/m³

The structure in POSCAR format:
```
MgSb2Pt2
1.0
7.762 0.000 0.000
0.000 7.762 0.000
0.000 0.000 3.502
Sb Mg Pt
4 2 4
Direct
0.340 0.840 0.000 Sb
0.840 0.660 0.000 Sb
0.660 0.160 0.000 Sb
0.160 0.340 0.000 Sb
0.000 0.000 0.000 Mg
0.500 0.500 0.000 Mg
0.135 0.635 0.500 Pt
0.635 0.865 0.500 Pt
0.865 0.365 0.500 Pt
0.365 0.135 0.500 Pt
```

Mg2SbPt: optimized geometry, GGA-PBE.

## Properties
Size of the total moment: 0.000 μB per cell
Fermi-level density of states: 0.296 states/eV per atom
ρ: 7.8 Mg/m³
E_tot: -3.755 eV/atom

The structure in POSCAR format:
```
Mg2SbPt
1.0
-2.244 0.225 -6.618
-2.842 -1.277 3.798
-2.146 2.340 -0.825
Mg Pt Sb
2 1 1
Direct
0.000 0.000 0.000 Mg
0.500 0.000 0.500 Mg
0.000 0.500 0.500 Pt
0.500 0.500 0.000 Sb
```

SrMgSb2Pt: optimized geometry, GGA-PBE.

## Properties
Size of the total moment: 0.000 μB per cell
Fermi-level density of states: 0.996 states/eV per atom
ρ: 5.8 Mg/m³
E_tot: -2.987 eV/atom

The structure in POSCAR format:
```
SrMgSb2Pt
1.0
-4.829 1.653 0.672
-1.886 -3.829 -4.132
-0.716 -3.572 3.637
Sb Mg Pt Sr
2 1 1 1
Direct
0.000 0.000 0.500 Sb
0.500 0.000 0.000 Sb
0.000 0.000 0.000 Mg
0.500 0.500 0.500 Pt
0.000 0.500 0.000 Sr
```

Sr2MgSb4Pt3: optimized geometry, GGA-PBE.

## Properties
Size of the total moment: 0.000 μB per cell
Fermi-level density of states: 0.285 states/eV per atom
ρ: 8.6 Mg/m³
E_tot: -4.727 eV/atom

The structure in POSCAR format:
```
Sr2MgSb4Pt3
1.0
-3.737 -1.985 -1.945
2.770 -2.396 -2.876
0.548 -8.423 7.545
Sr Mg Sb Pt
2 1 4 3
Direct
0.500 0.000 0.247 Sr
0.000 0.500 0.753 Sr
0.500 0.500 0.500 Mg
0.500 0.500 0.000 Sb
0.000 0.000 0.000 Sb
0.500 0.000 0.641 Sb
0.000 0.500 0.359 Sb
0.000 0.000 0.500 Pt
0.500 0.000 0.876 Pt
0.000 0.500 0.124 Pt
```